[1]
TiCuS2Cl | GGA-PBE | optimized geometry

It has space group P4/mmm (No. 123), with a = 4.708 Å, b = 4.708 Å, c = 4.757 Å, α = 90.00°, β = 90.00° and γ = 90.00°. The distinct sites, in fractional coordinates, are Ti at (0.000, 0.000, 0.000), Cu at (0.500, 0.500, 0.500), S at (0.000, 0.500, 0.000) and Cl at (0.000, 0.000, 0.500).

The value obtained for the energy above the lowest structure with this stoichiometry is 0 meV per atom. The value obtained for the total energy is -4.74 eV per atom.



[2]
TiCuS2Cl | GGA-PBE | optimized geometry

It has space group P4/mmm (No. 123), with a = 4.586 Å, b = 4.586 Å, c = 4.447 Å, α = 90.00°, β = 90.00° and γ = 90.00°. The distinct sites, in fractional coordinates, are Ti at (0.000, 0.000, 0.000), Cu at (0.500, 0.500, 0.500), S at (0.000, 0.500, 0.500) and Cl at (0.500, 0.500, 0.000).

The value obtained for the energy above the lowest structure with this stoichiometry is 493 meV per atom. The value obtained for the total energy is -4.25 eV per atom.



[3]
TiCuSCl2 | GGA-PBE | optimized geometry

It has space group P4/mmm (No. 123), with a = 4.772 Å, b = 4.772 Å, c = 4.738 Å, α = 90.00°, β = 90.00° and γ = 90.00°. The distinct sites, in fractional coordinates, are Ti at (0.000, 0.000, 0.000), Cu at (0.500, 0.500, 0.500), S at (0.000, 0.000, 0.500) and Cl at (0.000, 0.500, 0.000).

The value obtained for the energy above the lowest structure with this stoichiometry is 0 meV per atom. The value obtained for the total energy is -4.44 eV per atom.